Record 1
A plane-wave DFT calculation with PBE was carried out for a relaxed structure of AsIr3.

The value obtained for the theoretical density is 17.16 Mg/m³. For the density of states at the Fermi level, the calculation gives 12.99 states/eV per cell. The calculation puts the energy above the most stable polymorph in this dataset at 737 meV per atom. The formation energy comes out at 0.814 eV per atom.

The structure belongs to space group Pm-3n (No. 223); the cell edges are 5.014, 5.014 and 5.014 Å and the angles 90.00°, 90.00° and 90.00°. The distinct sites, in fractional coordinates, are As at (0.000, 0.000, 0.000) and Ir at (0.000, 0.250, 0.500).

=====

Record 2
A plane-wave DFT calculation with PBE was carried out for a relaxed structure of LiZnMoRu.

The value obtained for the theoretical density is 8.07 Mg/m³. For the density of states at the Fermi level, the calculation gives 11.34 states/eV per cell. The formation energy comes out at -0.001 eV per atom.

The structure belongs to space group F-43m (No. 216); the cell edges are 6.051, 6.051 and 6.051 Å and the angles 90.00°, 90.00° and 90.00°. The distinct sites, in fractional coordinates, are Li at (0.000, 0.000, 0.000), Zn at (0.250, 0.250, 0.250), Mo at (0.250, 0.250, 0.750) and Ru at (0.000, 0.000, 0.500).

=====

Record 3
A plane-wave DFT calculation with PBE was carried out for a relaxed structure of NbNi7H6.

Its calculated total energy is -5.07 eV per atom. The value obtained for the theoretical density is 7.42 Mg/m³. For the density of states at the Fermi level, the calculation gives 20.39 states/eV per cell.

The structure belongs to space group R3 (No. 146, hexagonal axes); the cell edges are 4.5161, 4.5161 and 19.3795 Å and the angles 90.00°, 90.00° and 120.00°. The distinct sites, in fractional coordinates, are Nb at (0.0000, 0.0000, 0.0000), Ni at (0.0000, 0.0000, 0.3352), Ni at (0.0002, 0.3291, 0.8874), Ni at (0.0059, 0.6717, 0.7800), H at (0.0022, 0.3525, 0.0686) and H at (0.0208, 0.6840, 0.2651).

=====

Record 4
A plane-wave DFT calculation with PBE was carried out for a relaxed structure of TbCeAg4.

The value obtained for the theoretical density is 9.09 Mg/m³. For the density of states at the Fermi level, the calculation gives 32.26 states/eV per cell. The calculation puts the energy above the most stable polymorph in this dataset at 82 meV per atom. The formation energy comes out at -0.104 eV per atom.

The structure belongs to space group F-43m (No. 216); the cell edges are 8.111, 8.111 and 8.111 Å and the angles 90.00°, 90.00° and 90.00°. The distinct sites, in fractional coordinates, are Tb at (0.000, 0.000, 0.000), Ce at (0.250, 0.250, 0.250) and Ag at (0.125, 0.125, 0.625).

=====

Record 5
A plane-wave DFT calculation with PBE was carried out for a relaxed structure of BaAl4Pt.

The value obtained for the theoretical density is 5.46 Mg/m³. For the density of states at the Fermi level, the calculation gives 3.06 states/eV per cell. The formation energy comes out at -0.466 eV per atom.

The structure belongs to space group P-1 (No. 2); the cell edges are 6.357, 6.958 and 7.010 Å and the angles 62.29°, 78.02° and 80.81°. The distinct sites, in fractional coordinates, are Ba at (0.232, 0.048, 0.156), Al at (0.094, 0.552, 0.615), Al at (0.275, 0.188, 0.570), Al at (0.326, 0.538, 0.163), Al at (0.331, 0.753, 0.732), Pt at (0.000, 0.500, 0.000) and Pt at (0.500, 0.500, 0.500).

=====

Record 6
A plane-wave DFT calculation with PBE was carried out for a relaxed structure of Sc2AsF.

The value obtained for the theoretical density is 4.11 Mg/m³. For the density of states at the Fermi level, the calculation gives 17.88 states/eV per cell. The value obtained for the energy relative to the elements, uncorrected is -388 kJ/mol of formula units. The calculation puts the energy above the most stable polymorph in this dataset at 843 meV per atom.

The structure belongs to space group R-3m (No. 166, hexagonal axes); the cell edges are 3.1354, 3.1354 and 26.1689 Å and the angles 90.00°, 90.00° and 120.00°. The distinct sites, in fractional coordinates, are Sc at (0.0000, 0.0000, 0.1006), As at (0.0000, 0.0000, 0.0000) and F at (0.0000, 0.0000, 0.5000).

=====

Record 7
A plane-wave DFT calculation with PBE was carried out for a relaxed structure of CaWN2.

The value obtained for the theoretical density is 7.54 Mg/m³. For the density of states at the Fermi level, the calculation gives 2.92 states/eV per cell. The value obtained for the energy relative to the elements, uncorrected is -220 kJ/mol of formula units. The calculation puts the energy above the most stable polymorph in this dataset at 168 meV per atom.

The structure belongs to space group Amm2 (No. 38); the cell edges are 3.457, 2.965 and 10.817 Å and the angles 90.00°, 90.00° and 90.00°. The distinct sites, in fractional coordinates, are Ca at (0.000, 0.000, 0.000), W at (0.500, 0.000, 0.246), N at (0.000, 0.000, 0.323) and N at (0.500, 0.000, 0.610).

=====

Record 8
A plane-wave DFT calculation with PBE was carried out for a relaxed structure of NdGaSi.

The value obtained for the theoretical density is 6.29 Mg/m³. For the density of states at the Fermi level, the calculation gives 0.43 states/eV per cell. The value obtained for the energy relative to the elements, uncorrected is -199 kJ/mol of formula units.

The structure belongs to space group P3m1 (No. 156); the cell edges are 4.1815, 4.1815 and 4.2222 Å and the angles 90.00°, 90.00° and 120.00°. The distinct sites, in fractional coordinates, are Nd at (0.0000, 0.0000, 0.0000), Ga at (0.6667, 0.3333, 0.5266) and Si at (0.3333, 0.6667, 0.4774).